# KInHgBi2 GGA-PBE relaxed
# E_tot = -2.53 eV per atom
# Theoretical density = 7.24 g/cm3
data_KInHgBi2
_cell_length_a 5.005
_cell_length_b 5.005
_cell_length_c 7.908
_cell_angle_alpha 108.45
_cell_angle_beta 108.45
_cell_angle_gamma 90.00
_symmetry_space_group_name_H-M 'P 1'
_symmetry_Int_Tables_number 1
loop_
_symmetry_equiv_pos_as_xyz
'x,y,z'
loop_
_atom_site_label
_atom_site_type_symbol
_atom_site_fract_x
_atom_site_fract_y
_atom_site_fract_z
In1 In 0.250 0.750 0.500
Bi1 Bi 0.380 0.380 0.760
Bi2 Bi 0.620 0.620 0.240
K1 K 0.000 0.000 0.000
Hg1 Hg 0.750 0.250 0.500

=====

# K2In3HgBi4 GGA-PBE relaxed
# E_tot = -2.77 eV per atom
# Theoretical density = 6.72 g/cm3
data_K2In3HgBi4
_cell_length_a 5.081
_cell_length_b 5.081
_cell_length_c 13.971
_cell_angle_alpha 90.00
_cell_angle_beta 90.00
_cell_angle_gamma 90.00
_symmetry_space_group_name_H-M 'P 1'
_symmetry_Int_Tables_number 1
loop_
_symmetry_equiv_pos_as_xyz
'x,y,z'
loop_
_atom_site_label
_atom_site_type_symbol
_atom_site_fract_x
_atom_site_fract_y
_atom_site_fract_z
In1 In 0.000 0.500 0.141
In2 In 0.000 0.000 0.500
In3 In 0.500 0.000 0.859
Bi1 Bi 0.000 0.000 0.000
Bi2 Bi 0.500 0.500 0.000
Bi3 Bi 0.500 0.000 0.632
Bi4 Bi 0.000 0.500 0.368
K1 K 0.000 0.500 0.736
K2 K 0.500 0.000 0.264
Hg1 Hg 0.500 0.500 0.500

=====

# LaIn2HgBi GGA-PBE relaxed
# E_tot = -2.82 eV per atom
# Theoretical density = 7.48 g/cm3
data_LaIn2HgBi
_cell_length_a 5.397
_cell_length_b 5.932
_cell_length_c 5.397
_cell_angle_alpha 90.00
_cell_angle_beta 90.00
_cell_angle_gamma 90.00
_symmetry_space_group_name_H-M 'P 1'
_symmetry_Int_Tables_number 1
loop_
_symmetry_equiv_pos_as_xyz
'x,y,z'
loop_
_atom_site_label
_atom_site_type_symbol
_atom_site_fract_x
_atom_site_fract_y
_atom_site_fract_z
Bi1 Bi 0.000 0.500 0.000
In1 In 0.000 0.000 0.500
In2 In 0.500 0.000 0.000
Hg1 Hg 0.000 0.000 0.000
La1 La 0.500 0.500 0.500